SrCoO2: optimized geometry, PBE+U.

Cell: 3.9858 3.9858 3.4080 Å, 90.00 90.00 90.00°
Positions (direct):
Sr 0.0000 0.0000 0.0000
Co 0.5000 0.5000 0.5000
O 0.0000 0.5000 0.5000
O 0.5000 0.0000 0.5000

- SG = P4/mmm, No. 123
- size of the total moment (μB per atom) = 0.688
- calculated total energy (eV for the cell shown) = -23.803